# 1
A relaxed structure of CaI2Cl6. Source: Alexandria via LeMat-Bulk, functional PBE.

Unit cell a=7.8955 b=9.0868 c=9.0868 alpha=88.34 beta=76.96 gamma=76.96
Positions (direct):
I1 0.3596 0.5342 0.7250
I2 0.6404 0.4658 0.2750
I3 0.8596 0.7250 0.5342
I4 0.1404 0.2750 0.4658
Ca1 0.7500 0.9396 0.0604
Ca2 0.2500 0.0604 0.9396
Cl1 0.6089 0.9568 0.8093
Cl2 0.1122 0.4963 0.3033
Cl3 0.8878 0.5037 0.6967
Cl4 0.6122 0.3033 0.4963
Cl5 0.3405 0.3529 0.9405
Cl6 0.1595 0.0595 0.6471
Cl7 0.3878 0.6967 0.5037
Cl8 0.8911 0.1907 0.0432
Cl9 0.3911 0.0432 0.1907
Cl10 0.1089 0.8093 0.9568
Cl11 0.6595 0.6471 0.0595
Cl12 0.8405 0.9405 0.3529

Results
Symmetry ... C2/c
Formation energy from raw total energies ... -0.82 eV per atom

# 2
A relaxed structure of Li4CePr3Se8. Source: Alexandria via LeMat-Bulk, functional PBE.

Unit cell a=8.4688 b=8.1598 c=8.4661 alpha=121.29 beta=120.01 gamma=90.00
Positions (direct):
Li1 0.5000 0.0000 0.0000
Li2 0.0000 0.0000 0.0000
Li3 0.5000 0.0000 0.5000
Li4 0.0000 0.0000 0.5000
Se1 0.2443 0.2397 0.9918
Se2 0.7475 0.2397 0.4950
Se3 0.2525 0.7603 0.0082
Se4 0.7475 0.2397 0.9918
Se5 0.2459 0.2380 0.4917
Se6 0.7541 0.7620 0.5083
Se7 0.7557 0.7603 0.0082
Se8 0.2525 0.7603 0.5050
Ce1 0.0000 0.5000 0.0000
Pr1 0.5000 0.5000 0.5000
Pr2 0.0000 0.5000 0.5000
Pr3 0.5000 0.5000 0.0000

Results
Symmetry ... R-3m
Formation energy from raw total energies ... -1.64 eV per atom

# 3
A relaxed structure of KHgBr2. Source: Alexandria via LeMat-Bulk, functional PBE.

Unit cell a=7.9913 b=7.9913 c=7.9913 alpha=148.21 beta=148.21 gamma=45.58
Positions (direct):
Br1 0.2500 0.7500 0.5000
Br2 0.0000 0.0000 0.0000
K1 0.7500 0.2500 0.5000
Hg1 0.5000 0.5000 0.0000

Results
Symmetry ... I-4m2
Formation energy from raw total energies ... -0.85 eV per atom
Offset from the most stable computed form ... 111 meV/atom